## NaLiY2Au4 (PBE)

Data for a relaxed structure of NaLiY2Au4.

Unit cell a=4.9601 b=4.9601 c=23.9219 alpha=90.00 beta=90.00 gamma=120.00
Space group R-3m (No. 166, hexagonal axes)
Inequivalent atoms, fractional coordinates:
Na: 0.0000 0.0000 0.0000 x3
Li: 0.0000 0.0000 0.5000 x3
Y: 0.0000 0.0000 0.2495 x6
Au: 0.0000 0.0000 0.1262 x6
Au: 0.0000 0.0000 0.3802 x6

Properties
Its formation enthalpy at 0 K is -0.651 eV/atom. Its total magnetization is 0.0 Bohr magnetons per cell. The calculation puts the density at 9.73 g cm⁻³. Its energy is -4.310 eV per atom.